The following is a PBE-GGA calculation of a relaxed structure of ReSe, from OQMD via LeMat-Bulk.

E above lowest polymorph = 0.16 eV per formula unit
M_tot = 0.01 μB/f.u.
energy = -56.88 eV per cell
calculated density = 10.35 Mg/m³

a = 5.542 Å, b = 5.542 Å, c = 5.542 Å
α = 90.00°, β = 90.00°, γ = 90.00°
Space group F-43m (No. 216)
Unique sites:
Re1 0.000 0.000 0.000 (multiplicity 4)
Se1 0.250 0.250 0.750 (multiplicity 4)